A plane-wave DFT calculation with PBE was carried out for a geometry-optimized Sr2DyIn12Ni3 structure.

Cell lengths 8.662, 8.662, 8.662 Å; angles 65.29, 65.29, 65.29 degrees
Positions (direct):
Sr: 0.587 0.587 0.587
Sr: 0.413 0.413 0.413
Dy: 0.000 0.000 0.000
In: 0.275 0.275 0.893
In: 0.844 0.844 0.442
In: 0.442 0.844 0.844
In: 0.893 0.275 0.275
In: 0.844 0.442 0.844
In: 0.275 0.893 0.275
In: 0.725 0.725 0.107
In: 0.156 0.156 0.558
In: 0.558 0.156 0.156
In: 0.107 0.725 0.725
In: 0.156 0.558 0.156
In: 0.725 0.107 0.725
Ni: 0.500 0.000 0.000
Ni: 0.000 0.500 0.000
Ni: 0.000 0.000 0.500

Values from the calculation:
**Crystal system**: trigonal
**Formation energy from the elements**: -44 meV per atom

A plane-wave DFT calculation with PBE was carried out for a geometry-optimized TbDyInNi structure.

Cell lengths 5.104, 5.104, 5.104 Å; angles 60.00, 60.00, 60.00 degrees
Positions (direct):
Ni: 0.750 0.750 0.750
In: 0.250 0.250 0.250
Tb: 0.500 0.500 0.500
Dy: 0.000 0.000 0.000

Values from the calculation:
**Crystal system**: cubic
**Formation energy from the elements**: -311 meV per atom

no.,DOS(E_F) (states/eV/atom),ρ (Mg/m³)
1,0.519,6.13
2,0.940,8.74